Record 1
Density functional theory data (GGA-PBE) for a relaxed structure of BaCoSiB2.

Unit cell a=4.0354 b=4.0354 c=6.2005 alpha=90.00 beta=90.00 gamma=90.00
Closest atoms and distances in Å follow each position.
Positions (direct):
1 Ba 0.0000 0.0000 0.0000  4 Co 2.85, 2 Si 3.10
2 Co 0.5000 0.5000 0.0000  4 Ba 2.85
3 Si 0.0000 0.0000 0.5000  4 B 2.02
4 B 0.0000 0.5000 0.5000  2 Si 2.02
5 B 0.5000 0.0000 0.5000  2 Si 2.02

Calculated values
total DFT energy (no corrections): -4.079 eV/atom
crystal system: tetragonal
formation energy without anion corrections: 7.41 eV/f.u.
space group: P4/mmm

***

Record 2
Density functional theory data (GGA-PBE) for a relaxed structure of BaCoB2Te.

Unit cell a=4.7483 b=4.7483 c=4.6860 alpha=90.00 beta=90.00 gamma=90.00
Closest atoms and distances in Å follow each position.
Positions (direct):
1 Ba 0.0000 0.0000 0.0000  8 B 3.34, 4 Co 3.36
2 Co 0.5000 0.5000 0.0000  2 Te 2.34
3 B 0.0000 0.5000 0.5000  2 Te 2.37
4 B 0.5000 0.0000 0.5000  2 Te 2.37
5 Te 0.5000 0.5000 0.5000  2 Co 2.34, 4 B 2.37

Calculated values
total DFT energy (no corrections): -3.828 eV/atom
crystal system: tetragonal
formation energy without anion corrections: 6.39 eV/f.u.
space group: P4/mmm

***

Record 3
Density functional theory data (GGA-PBE) for a relaxed structure of BaTl2CoB.

Unit cell a=5.0204 b=5.0204 c=5.7404 alpha=90.00 beta=90.00 gamma=90.00
Closest atoms and distances in Å follow each position.
Positions (direct):
1 Ba 0.0000 0.0000 0.0000  2 Co 2.87
2 Tl 0.0000 0.5000 0.5000  2 Co 2.51
3 Tl 0.5000 0.0000 0.5000  2 Co 2.51
4 Co 0.0000 0.0000 0.5000  4 Tl 2.51
5 B 0.5000 0.5000 0.0000  4 Ba 3.55, 8 Tl 3.81

Calculated values
total DFT energy (no corrections): -3.219 eV/atom
crystal system: tetragonal
space group: P4/mmm